No. 1
Density functional theory data (PBE) for Pr4DyMg2 after structural relaxation.

a = 5.678 Å, b = 5.678 Å, c = 9.597 Å
α = 72.79°, β = 72.79°, γ = 60.00°
Positions (direct):
Pr: 0.758 0.758 0.725
Pr: 0.630 0.630 0.110
Mg: 0.880 0.880 0.360
Pr: 0.242 0.242 0.275
Dy: 0.000 0.000 0.000
Mg: 0.120 0.120 0.640
Pr: 0.370 0.370 0.890

Values from the calculation:
* relative energy among the computed polymorphs: 0.099 eV per atom

---

No. 2
Density functional theory data (PBE) for Pr4DyMg after structural relaxation.

a = 3.715 Å, b = 3.715 Å, c = 14.534 Å
α = 90.00°, β = 90.00°, γ = 90.00°
Positions (direct):
Pr: 0.000 0.000 0.651
Pr: 0.500 0.500 0.827
Pr: 0.500 0.500 0.173
Dy: 0.000 0.000 0.000
Pr: 0.000 0.000 0.349
Mg: 0.500 0.500 0.500

Values from the calculation:
* relative energy among the computed polymorphs: 0.000 eV per atom

---

no.,calculated formation energy (eV/f.u.)
1,1.75
2,-0.13